Record 1
TlTe2Se | meta-GGA SCAN | single point on PBEsol structure

Computed properties:
Crystal system   cubic
D(E_F)   2.56 states/eV per cell
Space-group type   No. 216
Calculated total energy   -41.5305 eV per atom
Size of the total moment   0.000 μB/f.u.
Formation energy without anion corrections   0.20 eV per atom

Cell lengths 5.260, 5.260, 5.260 Å; angles 60.00, 60.00, 60.00 degrees
Atoms (fractional coordinates):
Te1 0.000 0.000 0.000
Tl1 0.250 0.250 0.250
Se1 0.500 0.500 0.500
Te2 0.750 0.750 0.750

Record 2
Tl2Te2Se | meta-GGA SCAN | single point on PBEsol structure

Computed properties:
Crystal system   tetragonal
D(E_F)   3.80 states/eV per cell
Space-group type   No. 139
Calculated total energy   -47.9779 eV per atom
Size of the total moment   0.000 μB/f.u.
Formation energy without anion corrections   -0.12 eV per atom

Cell lengths 4.178, 4.178, 9.493 Å; angles 102.71, 102.71, 90.00 degrees
Atoms (fractional coordinates):
Te1 0.250 0.750 0.500
Se1 0.000 0.000 0.000
Tl1 0.586 0.586 0.172
Tl2 0.414 0.414 0.828
Te2 0.750 0.250 0.500

Record 3
TlTeSe2 | meta-GGA SCAN | single point on PBEsol structure

Computed properties:
Polymorph energy (0 for the lowest one)   0.083 eV per atom
Crystal system   orthorhombic
D(E_F)   1.53 states/eV per cell
Space-group type   No. 25
Calculated total energy   -37.5091 eV per atom
Size of the total moment   0.000 μB/f.u.
Formation energy without anion corrections   -0.07 eV per atom

Cell lengths 3.073, 5.820, 5.821 Å; angles 90.00, 90.00, 90.00 degrees
Atoms (fractional coordinates):
Te1 0.876 0.375 0.000
Se1 0.878 0.375 0.500
Tl1 0.373 0.875 0.500
Se2 0.874 0.875 0.000

> The highest D(E_F) belongs to which entry?

Tl2Te2Se

> D(E_F) of number 1 (TlTe2Se)?

2.56 states/eV per cell

> What is the D(E_F) in the third record?

1.53 states/eV per cell